[1]
A relaxed Ce4PrPa3N8 crystal, computed with PBE-GGA.

Structure (POSCAR):
```
Ce4PrPa3N8
1.0
3.560 2.055 5.809
-3.560 2.055 5.809
0.000 -4.111 5.809
Ce Pr Pa N
4 1 3 8
Direct
0.000 0.000 0.000
0.000 0.500 0.500
0.500 0.000 0.500
0.500 0.500 0.000
0.500 0.500 0.500
0.000 0.000 0.500
0.000 0.500 0.000
0.500 0.000 0.000
0.223 0.755 0.755
0.241 0.241 0.241
0.245 0.245 0.777
0.245 0.777 0.245
0.755 0.223 0.755
0.755 0.755 0.223
0.759 0.759 0.759
0.777 0.245 0.245
```

Summary:
For the total energy, the calculation gives -9.29 eV per atom. The formation energy without anion corrections is -1565 meV per atom. As for the space group: No. 166.



[2]
A relaxed AcUSeN2 crystal, computed with PBE-GGA.

Structure (POSCAR):
```
AcUSeN2
1.0
-1.966 1.966 6.492
1.966 -1.966 6.492
1.966 1.966 -6.492
Ac U Se N
1 1 1 2
Direct
0.000 0.000 0.000
0.307 0.307 0.000
0.654 0.654 0.000
0.379 0.879 0.500
0.879 0.379 0.500
```

Summary:
For the total energy, the calculation gives -8.60 eV per atom. The formation energy without anion corrections is -1493 meV per atom. As for the space group: No. 107.



[3]
A relaxed Tm2MnGe3 crystal, computed with PBE-GGA.

Structure (POSCAR):
```
Tm2MnGe3
1.0
5.965 -3.974 0.000
5.965 3.974 0.000
0.000 0.000 5.117
Tm Mn Ge
4 2 6
Direct
0.029 0.679 0.750
0.321 0.971 0.750
0.679 0.029 0.250
0.971 0.321 0.250
0.413 0.587 0.250
0.587 0.413 0.750
0.121 0.879 0.250
0.336 0.336 0.000
0.336 0.336 0.500
0.664 0.664 0.000
0.664 0.664 0.500
0.879 0.121 0.750
```

Summary:
For the total energy, the calculation gives -5.73 eV per atom. As for the space group: No. 63.



[4]
A relaxed LiCd2Pd4 crystal, computed with PBE-GGA.

Structure (POSCAR):
```
LiCd2Pd4
1.0
-2.111 2.111 6.946
2.111 -2.111 6.946
2.111 2.111 -6.946
Li Cd Pd
1 2 4
Direct
0.000 0.000 0.000
0.362 0.362 0.000
0.638 0.638 0.000
0.000 0.500 0.500
0.167 0.167 0.000
0.500 0.000 0.500
0.833 0.833 0.000
```

Summary:
For the total energy, the calculation gives -3.50 eV per atom. As for the space group: No. 139. Its energy above the most stable polymorph in this dataset is 252 meV per atom.



[5]
A relaxed Mn2PdW2 crystal, computed with PBE-GGA.

Structure (POSCAR):
```
Mn2PdW2
1.0
6.994 0.000 0.000
0.000 6.994 0.000
0.000 0.000 2.888
Mn Pd W
4 2 4
Direct
0.136 0.364 0.000
0.364 0.864 0.000
0.636 0.136 0.000
0.864 0.636 0.000
0.000 0.000 0.000
0.500 0.500 0.000
0.161 0.661 0.500
0.339 0.161 0.500
0.661 0.839 0.500
0.839 0.339 0.500
```

Summary:
For the total energy, the calculation gives -9.68 eV per atom. As for the space group: No. 127. Its energy above the most stable polymorph in this dataset is 0 meV per atom.



[6]
A relaxed Rb12Sr3F5 crystal, computed with PBE-GGA.

Structure (POSCAR):
```
Rb12Sr3F5
1.0
-10.204 10.204 10.204
10.204 -10.204 10.204
10.204 10.204 -10.204
Rb Sr F
48 12 20
Direct
0.021 0.694 0.112
0.021 0.827 0.909
0.083 0.673 0.694
0.083 0.909 0.388
0.091 0.612 0.917
0.091 0.979 0.173
0.112 0.021 0.694
0.112 0.591 0.417
0.173 0.091 0.979
0.173 0.583 0.194
0.194 0.173 0.583
0.194 0.521 0.612
0.306 0.888 0.979
0.306 0.917 0.327
0.327 0.306 0.917
0.327 0.521 0.409
0.388 0.083 0.909
0.388 0.806 0.479
0.409 0.327 0.521
0.409 0.583 0.888
0.417 0.112 0.591
0.417 0.806 0.827
0.479 0.388 0.806
0.479 0.591 0.673
0.521 0.409 0.327
0.521 0.612 0.194
0.583 0.194 0.173
0.583 0.888 0.409
0.591 0.417 0.112
0.591 0.673 0.479
0.612 0.194 0.521
0.612 0.917 0.091
0.673 0.479 0.591
0.673 0.694 0.083
0.694 0.083 0.673
0.694 0.112 0.021
0.806 0.479 0.388
0.806 0.827 0.417
0.827 0.417 0.806
0.827 0.909 0.021
0.888 0.409 0.583
0.888 0.979 0.306
0.909 0.021 0.827
0.909 0.388 0.083
0.917 0.091 0.612
0.917 0.327 0.306
0.979 0.173 0.091
0.979 0.306 0.888
0.125 0.250 0.375
0.125 0.375 0.750
0.250 0.375 0.125
0.250 0.875 0.625
0.375 0.125 0.250
0.375 0.750 0.125
0.625 0.250 0.875
0.625 0.875 0.750
0.750 0.125 0.375
0.750 0.625 0.875
0.875 0.625 0.250
0.875 0.750 0.625
0.000 0.000 0.000
0.000 0.000 0.500
0.000 0.500 0.000
0.000 0.500 0.500
0.125 0.750 0.875
0.125 0.875 0.250
0.250 0.125 0.875
0.250 0.625 0.375
0.375 0.250 0.625
0.375 0.625 0.750
0.500 0.000 0.000
0.500 0.000 0.500
0.500 0.500 0.000
0.500 0.500 0.500
0.625 0.375 0.250
0.625 0.750 0.375
0.750 0.375 0.625
0.750 0.875 0.125
0.875 0.125 0.750
0.875 0.250 0.125
```

Summary:
For the total energy, the calculation gives -2.38 eV per atom. The formation energy without anion corrections is -1081 meV per atom. As for the space group: No. 230.